VASP calculation (GGA-PBE) on a relaxed Ac4La3DyTe8 crystal.

Computed properties:
- Energy relative to the elements, uncorrected: -1.495 eV/atom

Lattice parameters (Å, degrees): 9.2331 9.2331 22.8295 90.00 90.00 120.00
Space group R-3m (No. 166, hexagonal axes)
Symmetry-distinct sites (fractional):
Ac: 0.0000 0.0000 0.0000 [3 per cell]
Ac: 0.0000 0.5000 0.0000 [9 per cell]
La: 0.0000 0.5000 0.5000 [9 per cell]
Dy: 0.0000 0.0000 0.5000 [3 per cell]
Te: 0.0000 0.0000 0.2467 [6 per cell]
Te: 0.0083 0.5042 0.2447 [18 per cell]